1.
Below is crystalline Sm4Sb2Te at its relaxed geometry, with properties calculated at the PBE-GGA level.

Unit cell a=7.8103 b=6.5436 c=9.7496 alpha=90.00 beta=116.74 gamma=90.00
Closest atoms and distances in Å follow each position.
Fractional coordinates of all 14 atoms:
Sb 0.6330 0.7500 0.0620  8 Sm 3.23-3.57, 1 Te 3.42
Sm 0.5205 0.9976 0.7310  1 Te 3.09, 4 Sb 3.20-3.36, 2 Sm 3.24-3.30
Sb 0.3670 0.2500 0.9380  8 Sm 3.23-3.57, 1 Te 3.42
Sb 0.2440 0.2500 0.4321  6 Sm 3.15-3.34
Sm 0.8365 0.2500 0.1462  1 Te 2.97, 2 Sb 3.15-3.30
Sm 0.1635 0.7500 0.8538  1 Te 2.97, 2 Sb 3.15-3.30
Te 0.8957 0.2500 0.8657  4 Sm 2.97-3.09
Sm 0.5205 0.5024 0.7310  1 Te 3.09, 4 Sb 3.20-3.36, 2 Sm 3.24-3.30
Sm 0.9661 0.2500 0.5870  1 Te 3.01, 1 Sb 3.15
Sm 0.4795 0.0024 0.2690  1 Te 3.09, 4 Sb 3.20-3.36, 2 Sm 3.24-3.30
Sm 0.4795 0.4976 0.2690  1 Te 3.09, 4 Sb 3.20-3.36, 2 Sm 3.24-3.30
Te 0.1043 0.7500 0.1343  4 Sm 2.97-3.09
Sm 0.0339 0.7500 0.4130  1 Te 3.01, 1 Sb 3.15
Sb 0.7560 0.7500 0.5679  6 Sm 3.15-3.34

Computed properties:
- offset from the most stable computed form (meV per atom) = 250
- formation energy (no corrections) (eV per atom) = -0.849
- Fermi-level density of states (states/eV/cell) = 14.205
- magnetization (μB per formula unit) = 0.0
- calculated density (kg/m3) = 7259

***

2.
Below is crystalline Sm5Sb4Te at its relaxed geometry, with properties calculated at the PBE-GGA level.

Unit cell a=4.4665 b=4.4665 c=16.1079 alpha=97.97 beta=97.97 gamma=90.00
Closest atoms and distances in Å follow each position.
Fractional coordinates of all 10 atoms:
Sm 0.5000 0.5000 0.0000  2 Sb 3.13, 4 Te 3.16
Te 0.0000 0.0000 0.0000  6 Sm 3.16-3.22
Sb 0.2003 0.2003 0.4006  6 Sm 3.10-3.16
Sm 0.1021 0.1021 0.2041  5 Sb 3.10-3.16, 1 Te 3.22
Sm 0.7002 0.7002 0.4003  6 Sb 3.15-3.19
Sm 0.8979 0.8979 0.7959  5 Sb 3.10-3.16, 1 Te 3.22
Sm 0.2998 0.2998 0.5997  6 Sb 3.15-3.19
Sb 0.7997 0.7997 0.5994  6 Sm 3.10-3.16
Sb 0.4009 0.4009 0.8018  6 Sm 3.13-3.19
Sb 0.5991 0.5991 0.1982  6 Sm 3.13-3.19

Computed properties:
- offset from the most stable computed form (meV per atom) = 12
- formation energy (no corrections) (eV per atom) = -1.244
- Fermi-level density of states (states/eV/cell) = 2.413
- magnetization (μB per formula unit) = 0.0
- calculated density (kg/m3) = 7201

***

3.
Below is crystalline Sm8SbTe6 at its relaxed geometry, with properties calculated at the PBE-GGA level.

Unit cell a=4.4315 b=11.1635 c=11.1635 alpha=120.00 beta=90.00 gamma=90.00
Closest atoms and distances in Å follow each position.
Fractional coordinates of all 15 atoms:
Sm 0.2539 0.6667 0.3333  6 Te 3.14-3.15
Sb 0.5000 0.0000 0.0000  6 Sm 3.36
Sm 0.2583 0.2682 0.2992  3 Te 3.04-3.12, 1 Sb 3.36
Te 0.7526 0.6469 0.1247  5 Sm 3.04-3.15
Te 0.2474 0.1247 0.4777  5 Sm 3.04-3.15
Sm 0.7417 0.7318 0.7008  3 Te 3.04-3.12, 1 Sb 3.36
Te 0.2474 0.5223 0.6469  5 Sm 3.04-3.15
Sm 0.2583 0.7008 0.9690  3 Te 3.04-3.12, 1 Sb 3.36
Te 0.7526 0.4777 0.3531  5 Sm 3.04-3.15
Sm 0.7417 0.9690 0.2682  3 Te 3.04-3.12, 1 Sb 3.36
Sm 0.7417 0.2992 0.0310  3 Te 3.04-3.12, 1 Sb 3.36
Sm 0.2583 0.0310 0.7318  3 Te 3.04-3.12, 1 Sb 3.36
Te 0.7526 0.8753 0.5223  5 Sm 3.04-3.15
Te 0.2474 0.3531 0.8753  5 Sm 3.04-3.15
Sm 0.7461 0.3333 0.6667  6 Te 3.14-3.15

Computed properties:
- formation energy (no corrections) (eV per atom) = -1.025
- Fermi-level density of states (states/eV/cell) = 9.584
- magnetization (μB per formula unit) = 0.0
- calculated density (kg/m3) = 7257

***

4.
Below is crystalline Sm5Sb4Te at its relaxed geometry, with properties calculated at the PBE-GGA level.

Unit cell a=6.3180 b=7.7377 c=7.7377 alpha=80.41 beta=65.90 gamma=65.90
Closest atoms and distances in Å follow each position.
Fractional coordinates of all 10 atoms:
Sm 0.6963 0.2032 0.4063  5 Sb 3.13-3.17, 1 Te 3.21
Sm 0.8995 0.4063 0.7968  5 Sb 3.13-3.17, 1 Te 3.21
Sb 0.3998 0.4000 0.8026  6 Sm 3.13-3.17
Sm 0.1026 0.5937 0.2032  5 Sb 3.13-3.17, 1 Te 3.21
Sb 0.7998 0.8026 0.6000  6 Sm 3.13-3.17
Sm 0.5008 0.0000 0.0000  4 Sb 3.15, 2 Te 3.16
Sm 0.3058 0.7968 0.5937  5 Sb 3.13-3.17, 1 Te 3.21
Te 0.0008 0.0000 0.0000  6 Sm 3.16-3.21
Sb 0.6024 0.6000 0.1974  6 Sm 3.13-3.17
Sb 0.2024 0.1974 0.4000  6 Sm 3.13-3.17

Computed properties:
- offset from the most stable computed form (meV per atom) = 0
- formation energy (no corrections) (eV per atom) = -1.256
- Fermi-level density of states (states/eV/cell) = 2.694
- magnetization (μB per formula unit) = 0.0
- calculated density (kg/m3) = 7198

***

5.
Below is crystalline Sm3Sb2Te at its relaxed geometry, with properties calculated at the PBE-GGA level.

Unit cell a=7.7271 b=7.7386 c=7.7386 alpha=120.02 beta=99.60 gamma=99.60
Closest atoms and distances in Å follow each position.
Fractional coordinates of all 12 atoms:
Sm 0.5008 0.6724 0.8443  4 Sb 3.11-3.16, 2 Te 3.20-3.21
Sb 0.7500 0.7479 0.2521  6 Sm 3.12-3.16
Sm 0.0000 0.5000 0.0000  4 Sb 3.15-3.16, 2 Te 3.17
Sm 0.0008 0.8443 0.6724  4 Sb 3.11-3.16, 2 Te 3.20-3.21
Sb 0.2500 0.9163 0.0837  6 Sm 3.11-3.16
Te 0.2500 0.5818 0.4182  6 Sm 3.17-3.21
Sb 0.7500 0.0837 0.9163  6 Sm 3.11-3.16
Te 0.7500 0.4182 0.5818  6 Sm 3.17-3.21
Sb 0.2500 0.2521 0.7479  6 Sm 3.12-3.16
Sm 0.5000 0.0000 0.5000  4 Sb 3.15-3.16, 2 Te 3.17
Sm 0.9992 0.1557 0.3276  4 Sb 3.11-3.16, 2 Te 3.20-3.21
Sm 0.4992 0.3276 0.1557  4 Sb 3.11-3.16, 2 Te 3.20-3.21

Computed properties:
- offset from the most stable computed form (meV per atom) = 0
- formation energy (no corrections) (eV per atom) = -1.294
- Fermi-level density of states (states/eV/cell) = 2.707
- magnetization (μB per formula unit) = 0.0
- calculated density (kg/m3) = 7230

***

6.
Below is crystalline Sm5Sb2Te at its relaxed geometry, with properties calculated at the PBE-GGA level.

Unit cell a=6.1899 b=7.2526 c=13.9267 alpha=90.00 beta=90.00 gamma=115.26
Closest atoms and distances in Å follow each position.
Fractional coordinates of all 16 atoms:
Sm 0.9489 0.8979 0.6155  2 Sb 3.08-3.11, 1 Te 3.11
Sb 0.8207 0.6413 0.4274  6 Sm 3.08-3.16
Sm 0.9489 0.8979 0.8845  2 Sb 3.08-3.11, 1 Te 3.11
Sm 0.0511 0.1021 0.3845  2 Sb 3.08-3.11, 1 Te 3.11
Te 0.7601 0.5202 0.7500  6 Sm 3.11-3.20
Sm 0.6301 0.2602 0.9372  1 Te 3.12, 3 Sb 3.13-3.16
Sb 0.1793 0.3587 0.5726  6 Sm 3.08-3.16
Te 0.2399 0.4798 0.2500  6 Sm 3.11-3.20
Sm 0.0511 0.1021 0.1155  2 Sb 3.08-3.11, 1 Te 3.11
Sm 0.3699 0.7398 0.4372  1 Te 3.12, 3 Sb 3.13-3.16
Sm 0.3699 0.7398 0.0628  1 Te 3.12, 3 Sb 3.13-3.16
Sm 0.6765 0.3530 0.2500  2 Sb 3.11, 2 Te 3.20
Sm 0.6301 0.2602 0.5628  1 Te 3.12, 3 Sb 3.13-3.16
Sb 0.8207 0.6413 0.0726  6 Sm 3.08-3.16
Sb 0.1793 0.3587 0.9274  6 Sm 3.08-3.16
Sm 0.3235 0.6470 0.7500  2 Sb 3.11, 2 Te 3.20

Computed properties:
- formation energy (no corrections) (eV per atom) = -0.678
- Fermi-level density of states (states/eV/cell) = 15.454
- magnetization (μB per formula unit) = 0.0
- calculated density (kg/m3) = 6596